Entry one
VASP calculation (PBE) on a relaxed NdSm2Rh crystal.

Lattice parameters (Å, degrees): 10.8558 10.8558 10.8558 19.97 19.97 19.97
With the nearest neighbours (Å) after each atom.
Element x y z (fractional)
Nd 0.0000 0.0000 0.0000  2 Sm 3.58, 6 Nd 3.76
Sm 0.1122 0.1122 0.1122  3 Rh 2.78
Sm 0.8878 0.8878 0.8878  3 Rh 2.78
Rh 0.5000 0.5000 0.5000  6 Sm 2.78

Summary:
SG = No. 166

---

Entry two
VASP calculation (PBE) on a relaxed NdSm2Rh crystal.

Lattice parameters (Å, degrees): 7.3012 9.8179 6.4665 90.00 90.00 90.00
With the nearest neighbours (Å) after each atom.
Element x y z (fractional)
Nd 0.0352 0.2500 0.1421  2 Rh 2.87-2.99
Nd 0.4648 0.7500 0.6421  2 Rh 2.87-2.99
Nd 0.5352 0.2500 0.3579  2 Rh 2.87-2.99
Nd 0.9648 0.7500 0.8579  2 Rh 2.87-2.99
Sm 0.1759 0.0654 0.6692  2 Rh 2.89
Sm 0.1759 0.4346 0.6692  2 Rh 2.89
Sm 0.3241 0.5654 0.1692  2 Rh 2.89
Sm 0.3241 0.9346 0.1692  2 Rh 2.89
Sm 0.6759 0.0654 0.8308  2 Rh 2.89
Sm 0.6759 0.4346 0.8308  2 Rh 2.89
Sm 0.8241 0.5654 0.3308  2 Rh 2.89
Sm 0.8241 0.9346 0.3308  2 Rh 2.89
Rh 0.1197 0.7500 0.4302  2 Nd 2.87-2.99, 4 Sm 2.89
Rh 0.3803 0.2500 0.9302  2 Nd 2.87-2.99, 4 Sm 2.89
Rh 0.6197 0.7500 0.0698  2 Nd 2.87-2.99, 4 Sm 2.89
Rh 0.8803 0.2500 0.5698  2 Nd 2.87-2.99, 4 Sm 2.89

Summary:
SG = No. 62

---

Entry three
VASP calculation (PBE) on a relaxed NdSm2Rh crystal.

Lattice parameters (Å, degrees): 6.3809 6.3809 9.7951 90.00 90.00 144.58
With the nearest neighbours (Å) after each atom.
Element x y z (fractional)
Nd 0.0791 0.9209 0.7500  2 Rh 2.96
Nd 0.9209 0.0791 0.2500  2 Rh 2.96
Sm 0.3602 0.6398 0.5682  2 Rh 2.89
Sm 0.3602 0.6398 0.9318  2 Rh 2.89
Sm 0.6398 0.3602 0.0682  2 Rh 2.89
Sm 0.6398 0.3602 0.4318  2 Rh 2.89
Rh 0.2368 0.7632 0.2500  4 Sm 2.89, 2 Nd 2.96
Rh 0.7632 0.2368 0.7500  4 Sm 2.89, 2 Nd 2.96

Summary:
SG = No. 63

---

Ranked by calculated energy, most stable first: entry two, entry three, entry one.

---

Entry one
VASP calculation (PBE) on a relaxed NdSm2Rh crystal.

Lattice parameters (Å, degrees): 3.5788 3.5788 8.8387 90.00 90.00 90.00
With the nearest neighbours (Å) after each atom.
Element x y z (fractional)
Nd 0.0000 0.0000 0.0000  4 Nd 3.58, 8 Sm 3.75
Sm 0.5000 0.5000 0.3124  4 Rh 3.03, 1 Sm 3.32
Sm 0.5000 0.5000 0.6876  4 Rh 3.03, 1 Sm 3.32
Rh 0.0000 0.0000 0.5000  8 Sm 3.03

Summary:
SG = No. 123

---

Entry two
VASP calculation (PBE) on a relaxed NdSm2Rh crystal.

Lattice parameters (Å, degrees): 9.6114 9.6114 9.6114 23.57 23.57 23.57
With the nearest neighbours (Å) after each atom.
Element x y z (fractional)
Nd 0.0000 0.0000 0.0000  6 Sm 3.75-3.81, 6 Nd 3.93
Sm 0.5573 0.5573 0.5573  3 Rh 2.80
Sm 0.7735 0.7735 0.7735  3 Rh 2.80
Rh 0.1652 0.1652 0.1652  6 Sm 2.80

Summary:
SG = No. 160

---

Ranked by calculated energy, most stable first: entry one, entry two.